First-principles (GGA-PBE) data for a geometry-optimized Cd4Ag5Hg structure, as listed in Alexandria.

Results
calculated formation energy	-0.025	eV per atom
energy relative to the lowest polymorph listed for this composition	0.000	eV per atom
volume	195.5	Å³/cell
E_tot	-1.846	eV/atom

Unit cell a=3.0971 b=3.0971 c=20.3818 alpha=90.00 beta=90.00 gamma=90.00
Closest atoms and distances in Å follow each position.
Positions (direct):
Ag1 0.5000 0.5000 0.3020  8 Cd 2.98, 4 Ag 3.10
Ag2 0.5000 0.5000 0.5000  8 Cd 2.98, 4 Ag 3.10
Ag3 0.5000 0.5000 0.6980  8 Cd 2.98, 4 Ag 3.10
Ag4 0.5000 0.5000 0.1036  4 Cd 2.98, 4 Hg 3.04, 4 Ag 3.10
Ag5 0.5000 0.5000 0.8964  4 Cd 2.98, 4 Hg 3.04, 4 Ag 3.10
Cd1 0.0000 0.0000 0.7974  8 Ag 2.98, 4 Cd 3.10
Cd2 0.0000 0.0000 0.4010  8 Ag 2.98, 4 Cd 3.10
Cd3 0.0000 0.0000 0.5990  8 Ag 2.98, 4 Cd 3.10
Cd4 0.0000 0.0000 0.2026  8 Ag 2.98, 4 Cd 3.10
Hg1 0.0000 0.0000 0.0000  8 Ag 3.04, 4 Hg 3.10